(1)
The following is a DFT calculation (GGA-PBE) of Pm4TeIr2 after structural relaxation.

Unit cell a=8.7341 b=8.7298 c=8.7239 alpha=60.06 beta=60.01 gamma=59.94
Element x y z (fractional)
Pm: 0.1943 0.7687 0.7679
Pm: 0.2309 0.2321 0.2313
Pm: 0.2313 0.8057 0.2309
Pm: 0.2321 0.2309 0.8057
Pm: 0.7679 0.7691 0.1943
Pm: 0.7687 0.1943 0.7691
Pm: 0.7691 0.7679 0.7687
Pm: 0.8057 0.2313 0.2321
Te: 0.3750 0.3750 0.3750
Te: 0.6250 0.6250 0.6250
Ir: 0.0000 0.0000 0.0000
Ir: 0.0000 0.0000 0.5000
Ir: 0.0000 0.5000 0.0000
Ir: 0.5000 0.0000 0.0000

E_tot: -6.47 eV per atom
volume: 470.3 Å³/cell
formation energy (no corrections): -0.771 eV per atom


(2)
The following is a DFT calculation (GGA-PBE) of KZrP2Os after structural relaxation.

Unit cell a=4.6983 b=4.6983 c=5.2503 alpha=90.00 beta=90.00 gamma=90.00
Element x y z (fractional)
K: 0.0000 0.0000 0.0000
Zr: 0.5000 0.5000 0.0000
P: 0.0000 0.5000 0.5000
P: 0.5000 0.0000 0.5000
Os: 0.5000 0.5000 0.5000

E_tot: -5.83 eV per atom
volume: 115.9 Å³/cell


(3)
The following is a DFT calculation (GGA-PBE) of SrPu4Pd3S12 after structural relaxation.

Unit cell a=8.4282 b=8.4282 c=8.4282 alpha=109.47 beta=109.47 gamma=109.47
Element x y z (fractional)
Sr: 0.0000 0.0000 0.0000
Pu: 0.0000 0.0000 0.5000
Pu: 0.0000 0.5000 0.0000
Pu: 0.5000 0.0000 0.0000
Pu: 0.5000 0.5000 0.5000
Pd: 0.0000 0.5000 0.5000
Pd: 0.5000 0.0000 0.5000
Pd: 0.5000 0.5000 0.0000
S: 0.1555 0.8428 0.3127
S: 0.1572 0.3127 0.4698
S: 0.1572 0.6873 0.8445
S: 0.3127 0.1555 0.8428
S: 0.3127 0.4698 0.1572
S: 0.4698 0.1572 0.3127
S: 0.5302 0.8428 0.6873
S: 0.6873 0.5302 0.8428
S: 0.6873 0.8445 0.1572
S: 0.8428 0.3127 0.1555
S: 0.8428 0.6873 0.5302
S: 0.8445 0.1572 0.6873

E_tot: -7.24 eV per atom
volume: 460.9 Å³/cell
formation energy (no corrections): -1.038 eV per atom